Entry 1:
# LaCePt2

A geometry-optimized LaCePt2 structure (PBE-GGA, the Alexandria database).

a b c (Å): 5.1176 5.1176 5.1176
angles (deg): 60.00 60.00 60.00
Closest atoms and distances in Å follow each position.
Atoms (fractional coordinates):
Pt  0.2500  0.2500  0.2500  4 Ce 3.13, 4 La 3.13
Pt  0.7500  0.7500  0.7500  4 La 3.13, 4 Ce 3.13
La  0.5000  0.5000  0.5000  8 Pt 3.13
Ce  0.0000  0.0000  0.0000  8 Pt 3.13

Values from the calculation:
The formation enthalpy at 0 K is -388 kJ/mol of formula units. Its symmetry is Fm-3m, No. 225. The total DFT energy (no corrections) comes out at -6.742 eV/atom. The value obtained for the total magnetic moment is 1.0 μB/cell.

=====

Entry 2:
# HoAg2Bi

A geometry-optimized HoAg2Bi structure (PBE-GGA, the Alexandria database).

a b c (Å): 4.8487 4.3992 4.3992
angles (deg): 90.00 90.00 90.00
Closest atoms and distances in Å follow each position.
Atoms (fractional coordinates):
Ho  0.5000  0.5000  0.5000  4 Bi 3.11, 8 Ag 3.27
Bi  0.5000  0.0000  0.0000  4 Ho 3.11, 8 Ag 3.27
Ag  0.0000  0.0000  0.5000  4 Ag 3.11, 4 Ho 3.27, 4 Bi 3.27
Ag  0.0000  0.5000  0.0000  4 Ag 3.11, 4 Ho 3.27, 4 Bi 3.27

Values from the calculation:
The formation enthalpy at 0 K is -117 kJ/mol of formula units. Its symmetry is P4/mmm, No. 123. The total DFT energy (no corrections) comes out at -3.844 eV/atom. The value obtained for the total magnetic moment is 0.0 μB/cell.

=====

Entry 3:
# NaZn2Ni

A geometry-optimized NaZn2Ni structure (PBE-GGA, the Alexandria database).

a b c (Å): 2.8901 2.8901 7.8207
angles (deg): 90.00 90.00 90.00
Closest atoms and distances in Å follow each position.
Atoms (fractional coordinates):
Zn  0.0000  0.0000  0.1884  4 Ni 2.52
Zn  0.0000  0.0000  0.8116  4 Ni 2.52
Na  0.5000  0.5000  0.5000  4 Na 2.89, 8 Zn 3.18
Ni  0.5000  0.5000  0.0000  8 Zn 2.52

Values from the calculation:
The formation enthalpy at 0 K is -4 kJ/mol of formula units. Its symmetry is P4/mmm, No. 123. The total DFT energy (no corrections) comes out at -2.424 eV/atom. The value obtained for the total magnetic moment is 0.0 μB/cell.

=====

Entry 4:
# HoBeSi

A geometry-optimized HoBeSi structure (PBE-GGA, the Alexandria database).

a b c (Å): 3.8589 3.8587 12.0166
angles (deg): 90.00 90.00 120.00
Closest atoms and distances in Å follow each position.
Atoms (fractional coordinates):
Ho  0.4947  0.9893  0.3333  6 Si 2.99-3.00, 6 Be 3.00-3.02
Ho  0.4947  0.9893  0.0000  6 Be 2.97, 6 Si 3.00-3.01
Ho  0.4946  0.9893  0.6667  6 Si 2.99-3.00, 6 Be 3.00-3.02
Be  0.1615  0.3229  0.8362  3 Si 2.23
Be  0.1615  0.3229  0.1638  3 Si 2.23
Be  0.8280  0.6560  0.5000  3 Si 2.23
Si  0.1613  0.3226  0.5000  3 Be 2.23
Si  0.8280  0.6561  0.1678  3 Be 2.23
Si  0.8280  0.6561  0.8322  3 Be 2.23

Values from the calculation:
Its symmetry is P-6m2, No. 187. The total DFT energy (no corrections) comes out at -5.233 eV/atom. The value obtained for the total magnetic moment is 0.0 μB/cell. For the uncorrected formation energy, the calculation gives -63 kJ per mole of atoms.

=====

Entry 5:
# ScNiBi2Br

A geometry-optimized ScNiBi2Br structure (PBE-GGA, the Alexandria database).

a b c (Å): 5.6833 5.0232 5.6833
angles (deg): 90.00 90.00 90.00
Closest atoms and distances in Å follow each position.
Atoms (fractional coordinates):
Bi  0.5000  0.0000  0.0000  2 Sc 2.84
Bi  0.0000  0.0000  0.5000  2 Sc 2.84
Br  0.0000  0.5000  0.0000  2 Sc 2.51
Ni  0.5000  0.5000  0.5000  8 Bi 3.79, 4 Br 4.02
Sc  0.0000  0.0000  0.0000  2 Br 2.51

Values from the calculation:
Its symmetry is P4/mmm, No. 123. The total DFT energy (no corrections) comes out at -3.859 eV/atom. The value obtained for the total magnetic moment is 0.0 μB/cell. For the uncorrected formation energy, the calculation gives 44 kJ per mole of atoms.

=====

Entry 6:
# V2GaAu

A geometry-optimized V2GaAu structure (PBE-GGA, the Alexandria database).

a b c (Å): 2.7551 2.7551 7.7960
angles (deg): 90.00 90.00 90.00
Closest atoms and distances in Å follow each position.
Atoms (fractional coordinates):
V  0.0000  0.0000  0.2354  4 Ga 2.68, 4 V 2.76, 4 Au 2.84
V  0.0000  0.0000  0.7646  4 Ga 2.68, 4 V 2.76, 4 Au 2.84
Ga  0.5000  0.5000  0.0000  8 V 2.68, 4 Ga 2.76
Au  0.5000  0.5000  0.5000  4 Au 2.76, 8 V 2.84

Values from the calculation:
The formation enthalpy at 0 K is -27 kJ/mol of formula units. Its symmetry is P4/mmm, No. 123. The total DFT energy (no corrections) comes out at -6.205 eV/atom. The value obtained for the total magnetic moment is 0.0 μB/cell.

=====

Question: total magnetic moment of number 6 (V2GaAu)?
Answer: 0.0 μB/cell